[1]
First-principles (PBE) data for crystalline Nd2MnCrS6 at its relaxed geometry, as listed in Alexandria via LeMat-Bulk.

Cell: 6.338 7.022 9.077 Å, 90.00 89.48 90.00°
Element x y z (fractional)
Cr: 0.500 0.000 0.000
Cr: 0.000 0.500 0.500
S: 0.316 0.685 0.451
S: 0.679 0.310 0.952
S: 0.321 0.690 0.048
S: 0.611 0.020 0.251
S: 0.684 0.315 0.549
S: 0.184 0.185 0.049
S: 0.389 0.980 0.749
S: 0.111 0.480 0.751
S: 0.889 0.520 0.249
S: 0.821 0.810 0.548
S: 0.179 0.190 0.452
S: 0.816 0.815 0.951
Nd: 0.540 0.602 0.750
Nd: 0.960 0.102 0.750
Nd: 0.460 0.398 0.250
Nd: 0.040 0.898 0.250
Mn: 0.000 0.500 0.000
Mn: 0.500 0.000 0.500

The value obtained for the size of the total moment is 14.00 Bohr magnetons per cell. The total energy is -6.6408 eV/atom.

[2]
First-principles (PBE) data for crystalline MnCrNi6 at its relaxed geometry, as listed in Alexandria via LeMat-Bulk.

Cell: 6.152 6.152 10.049 Å, 90.00 90.00 109.42°
Element x y z (fractional)
Ni: 0.248 0.752 0.497
Ni: 0.373 0.122 0.374
Ni: 0.878 0.627 0.374
Ni: 0.752 0.248 0.003
Ni: 0.500 0.500 0.750
Ni: 0.122 0.373 0.126
Ni: 0.878 0.627 0.126
Ni: 0.000 0.000 0.250
Ni: 0.500 0.500 0.250
Ni: 0.372 0.124 0.876
Ni: 0.752 0.248 0.497
Ni: 0.124 0.372 0.876
Ni: 0.627 0.878 0.374
Ni: 0.372 0.124 0.624
Ni: 0.000 0.000 0.750
Ni: 0.373 0.122 0.126
Ni: 0.628 0.876 0.624
Ni: 0.876 0.628 0.624
Ni: 0.124 0.372 0.624
Ni: 0.876 0.628 0.876
Ni: 0.122 0.373 0.374
Ni: 0.628 0.876 0.876
Ni: 0.248 0.752 0.003
Ni: 0.627 0.878 0.126
Cr: 0.000 0.000 0.502
Cr: 0.750 0.250 0.250
Cr: 0.000 0.000 0.998
Cr: 0.250 0.750 0.250
Mn: 0.500 0.500 0.999
Mn: 0.749 0.251 0.750
Mn: 0.500 0.500 0.501
Mn: 0.251 0.749 0.750

The value obtained for the size of the total moment is 25.23 Bohr magnetons per cell. As for the formation energy: -0.05 eV/atom. Its energy above the most stable polymorph in this dataset is 0.0081 eV per atom.

[3]
First-principles (PBE) data for crystalline MnCr3Ni12 at its relaxed geometry, as listed in Alexandria via LeMat-Bulk.

Cell: 3.548 3.548 14.235 Å, 90.00 90.00 90.00°
Element x y z (fractional)
Cr: 0.000 0.000 0.500
Cr: 0.000 0.000 0.751
Cr: 0.000 0.000 0.249
Ni: 0.500 0.000 0.375
Ni: 0.500 0.000 0.873
Ni: 0.500 0.500 0.500
Ni: 0.500 0.500 0.251
Ni: 0.500 0.500 0.000
Ni: 0.500 0.000 0.127
Ni: 0.000 0.500 0.127
Ni: 0.000 0.500 0.625
Ni: 0.000 0.500 0.873
Ni: 0.500 0.500 0.749
Ni: 0.000 0.500 0.375
Ni: 0.500 0.000 0.625
Mn: 0.000 0.000 0.000

The value obtained for the size of the total moment is 10.41 Bohr magnetons per cell. As for the formation energy: -0.03 eV/atom.

[4]
First-principles (PBE) data for crystalline MnCr2Ni2 at its relaxed geometry, as listed in Alexandria via LeMat-Bulk.

Cell: 3.220 3.220 6.226 Å, 75.02 75.02 90.00°
Element x y z (fractional)
Cr: 0.250 0.750 0.500
Cr: 0.750 0.250 0.500
Ni: 0.595 0.595 0.810
Ni: 0.405 0.405 0.190
Mn: 0.000 0.000 0.000

The value obtained for the size of the total moment is 0.00 Bohr magnetons per cell. As for the formation energy: 0.57 eV/atom. Its energy above the most stable polymorph in this dataset is 0.2691 eV per atom.

[5]
First-principles (PBE) data for crystalline MnCrNi2 at its relaxed geometry, as listed in Alexandria via LeMat-Bulk.

Cell: 4.334 4.334 4.437 Å, 81.11 81.11 33.51°
Element x y z (fractional)
Cr: 0.499 0.499 0.508
Ni: 0.749 0.749 0.749
Ni: 0.000 0.000 0.998
Mn: 0.252 0.252 0.245

The value obtained for the size of the total moment is 1.66 Bohr magnetons per cell. As for the formation energy: 0.05 eV/atom.

[6]
First-principles (PBE) data for crystalline MnCrNi2 at its relaxed geometry, as listed in Alexandria via LeMat-Bulk.

Cell: 8.421 8.421 8.421 Å, 16.98 16.98 16.98°
Element x y z (fractional)
Ni: 0.250 0.250 0.250
Ni: 0.000 0.000 0.000
Mn: 0.749 0.749 0.749
Cr: 0.501 0.501 0.501

The value obtained for the size of the total moment is 1.78 Bohr magnetons per cell. As for the formation energy: 0.08 eV/atom.

[7]
First-principles (PBE) data for crystalline MnCrNi2 at its relaxed geometry, as listed in Alexandria via LeMat-Bulk.

Cell: 6.374 6.374 5.091 Å, 51.24 51.24 90.00°
Element x y z (fractional)
Mn: 0.750 0.250 0.500
Mn: 0.000 0.000 0.000
Cr: 0.500 0.500 0.000
Cr: 0.250 0.750 0.500
Ni: 0.375 0.371 0.750
Ni: 0.875 0.879 0.750
Ni: 0.629 0.125 0.250
Ni: 0.121 0.625 0.250

The value obtained for the size of the total moment is 3.84 Bohr magnetons per cell. As for the formation energy: 0.61 eV/atom.

[8]
First-principles (PBE) data for crystalline MnCr2Ni8 at its relaxed geometry, as listed in Alexandria via LeMat-Bulk.

Cell: 3.877 5.866 6.568 Å, 116.52 107.17 90.00°
Element x y z (fractional)
Ni: 0.645 0.855 0.291
Ni: 0.000 0.294 0.000
Ni: 0.162 0.162 0.324
Ni: 0.355 0.145 0.709
Ni: 0.000 0.706 0.000
Ni: 0.355 0.564 0.709
Ni: 0.838 0.838 0.676
Ni: 0.645 0.436 0.291
Mn: 0.500 0.000 0.000
Cr: 0.199 0.699 0.398
Cr: 0.801 0.301 0.602

The value obtained for the size of the total moment is 4.39 Bohr magnetons per cell. As for the formation energy: 0.11 eV/atom. Its energy above the most stable polymorph in this dataset is 0.0000 eV per atom.